Entry 1:
A plane-wave DFT calculation with PBE was carried out for LaBiSeN2 after structural relaxation.

The structure in extended XYZ format:
```
5
Lattice="4.3909 0.0000 0.0000 0.0000 4.3909 0.0000 0.0000 0.0000 5.4766" Properties=species:S:1:pos:R:3 pbc="T T T"
La 0.0000 0.0000 0.0000
Bi 2.1955 2.1955 2.7383
Se 2.1955 2.1955 0.0000
N 0.0000 2.1955 2.7383
N 2.1955 0.0000 2.7383
```

Properties
Raw total energy, eV per atom: -5.44
E above lowest polymorph, meV per atom: 0
V, A^3/atom: 21.12
Formation energy from raw total energies, kJ/mol of formula units: 167

***

Entry 2:
A plane-wave DFT calculation with PBE was carried out for La3BiSeN after structural relaxation.

The structure in extended XYZ format:
```
12
Lattice="9.2337 0.0000 0.0000 0.0000 4.3618 0.0000 -1.8614 0.0000 9.4890" Properties=species:S:1:pos:R:3 pbc="T T T"
La 0.1210 1.0905 3.2501
La 1.3202 1.0905 9.3337
La 2.4158 3.2714 6.2850
La 4.9565 1.0905 3.2040
La 6.0521 3.2714 0.1553
La 7.2513 3.2714 6.2389
Bi 2.4390 3.2714 2.6721
Bi 4.9333 1.0905 6.8169
Se 0.1800 1.0905 6.2481
Se 7.1923 3.2714 3.2409
N 2.1519 3.2714 8.5258
N 5.2204 1.0905 0.9633
```

Properties
Raw total energy, eV per atom: -6.51
V, A^3/atom: 31.85
Formation energy from raw total energies, kJ/mol of formula units: -828

***

Entry 3:
A plane-wave DFT calculation with PBE was carried out for La4Bi2SeN2 after structural relaxation.

The structure in extended XYZ format:
```
9
Lattice="8.1201 -2.1582 0.0000 8.1201 2.1582 0.0000 -4.0203 0.0000 7.8233" Properties=species:S:1:pos:R:3 pbc="T T T"
La -0.6865 0.0000 2.1869
La 3.0572 0.0000 2.8561
La 9.1626 0.0000 4.9672
La 12.9064 0.0000 5.6364
Bi 2.5990 0.0000 7.4292
Bi 9.6208 0.0000 0.3941
Se 6.1099 0.0000 3.9116
N 0.9216 0.0000 3.7742
N 11.2982 0.0000 4.0491
```

Properties
Raw total energy, eV per atom: -6.65
V, A^3/atom: 30.47
Formation energy from raw total energies, kJ/mol of formula units: -1181

***

Entry 4:
A plane-wave DFT calculation with PBE was carried out for La4SiBiN after structural relaxation.

The structure in extended XYZ format:
```
14
Lattice="3.4228 -8.7349 0.0000 3.4228 8.7349 0.0000 0.0000 0.0000 6.8488" Properties=species:S:1:pos:R:3 pbc="T T T"
La 1.7114 4.3674 0.0000
La 1.7114 4.3674 3.4244
La 3.4228 7.6364 5.1366
La 3.4228 1.4906 5.1366
La 1.7114 -4.3674 0.0000
La 1.7114 -4.3674 3.4244
La 3.4228 -1.4906 1.7122
La 3.4228 -7.6364 1.7122
Si 3.4228 6.7180 1.7122
Si 3.4228 -6.7180 5.1366
Bi 3.4228 1.8781 1.7122
Bi 3.4228 -1.8781 5.1366
N 3.4228 3.8550 5.1366
N 3.4228 -3.8550 1.7122
```

Properties
Raw total energy, eV per atom: -6.20
V, A^3/atom: 29.25
Formation energy from raw total energies, kJ/mol of formula units: -585

***

Entry 5:
A plane-wave DFT calculation with PBE was carried out for La2Sm4Bi3N2 after structural relaxation.

The structure in extended XYZ format:
```
11
Lattice="-2.4207 2.4207 13.3194 2.4207 -2.4207 13.3194 2.4207 2.4207 -13.3194" Properties=species:S:1:pos:R:3 pbc="T T T"
La 0.0000 0.0000 5.0596
La 0.0000 0.0000 21.5792
Sm 2.4207 0.0000 2.1965
Sm 2.4207 0.0000 11.1229
Sm 0.0000 2.4207 2.1965
Sm 0.0000 2.4207 11.1229
Bi 0.0000 0.0000 8.6117
Bi 0.0000 0.0000 13.3194
Bi 0.0000 0.0000 18.0270
N 0.0000 0.0000 2.7314
N 0.0000 0.0000 23.9074
```

Properties
Raw total energy, eV per atom: -6.26
V, A^3/atom: 28.38
Formation energy from raw total energies, kJ/mol of formula units: -1145

***

Entry 6:
A plane-wave DFT calculation with PBE was carried out for La4Sm2Bi3N2 after structural relaxation.

The structure in extended XYZ format:
```
11
Lattice="-2.4437 2.4437 13.5052 2.4437 -2.4437 13.5052 2.4437 2.4437 -13.5052" Properties=species:S:1:pos:R:3 pbc="T T T"
La 2.4437 0.0000 2.3062
La 2.4437 0.0000 11.1989
La 0.0000 2.4437 2.3062
La 0.0000 2.4437 11.1989
Sm 0.0000 0.0000 5.2138
Sm 0.0000 0.0000 21.7965
Bi 0.0000 0.0000 8.5781
Bi 0.0000 0.0000 13.5052
Bi 0.0000 0.0000 18.4322
N 0.0000 0.0000 2.9446
N 0.0000 0.0000 24.0658
```

Properties
Raw total energy, eV per atom: -6.28
V, A^3/atom: 29.33
Formation energy from raw total energies, kJ/mol of formula units: -1120

***

Entry 7:
A plane-wave DFT calculation with PBE was carried out for LaSmBiN after structural relaxation.

The structure in extended XYZ format:
```
8
Lattice="4.7688 0.0000 0.0000 0.0000 4.7688 0.0000 0.0000 0.0000 9.3808" Properties=species:S:1:pos:R:3 pbc="T T T"
La 1.1922 3.5766 0.0000
La 3.5766 1.1922 0.0000
Sm 1.1922 1.1922 3.0710
Sm 3.5766 3.5766 6.3098
Bi 1.1922 1.1922 6.4772
Bi 3.5766 3.5766 2.9037
N 1.1922 1.1922 0.8344
N 3.5766 3.5766 8.5464
```

Properties
Raw total energy, eV per atom: -6.66
V, A^3/atom: 26.67
Formation energy from raw total energies, kJ/mol of formula units: -461

***

Entry 8:
A plane-wave DFT calculation with PBE was carried out for LaSnBi2N after structural relaxation.

The structure in extended XYZ format:
```
5
Lattice="6.1107 0.0000 0.0000 0.0000 6.1107 0.0000 0.0000 0.0000 3.9868" Properties=species:S:1:pos:R:3 pbc="T T T"
La 0.0000 0.0000 0.0000
Sn 3.0554 3.0554 1.9934
Bi 0.0000 3.0554 1.9934
Bi 3.0554 0.0000 1.9934
N 3.0554 3.0554 0.0000
```

Properties
Raw total energy, eV per atom: -4.64
V, A^3/atom: 29.77
Formation energy from raw total energies, kJ/mol of formula units: 176

***

Entry 9:
A plane-wave DFT calculation with PBE was carried out for LaSnBiN after structural relaxation.

The structure in extended XYZ format:
```
4
Lattice="-1.8304 1.8304 7.3374 1.8304 -1.8304 7.3374 1.8304 1.8304 -7.3374" Properties=species:S:1:pos:R:3 pbc="T T T"
La 0.0000 0.0000 0.0000
Sn 0.0000 0.0000 4.9114
Bi 0.0000 0.0000 9.8069
N 0.0000 0.0000 7.2635
```

Properties
Raw total energy, eV per atom: -5.77
V, A^3/atom: 24.58
Formation energy from raw total energies, kJ/mol of formula units: -187

***

Entry 10:
A plane-wave DFT calculation with PBE was carried out for Sr2LaBiN after structural relaxation.

The structure in extended XYZ format:
```
5
Lattice="5.3088 0.0000 0.0000 0.0000 5.3088 0.0000 0.0000 0.0000 5.0281" Properties=species:S:1:pos:R:3 pbc="T T T"
Sr 0.0000 2.6544 0.0000
Sr 2.6544 0.0000 0.0000
La 0.0000 0.0000 2.5140
Bi 2.6544 2.6544 2.5140
N 0.0000 0.0000 0.0000
```

Properties
Raw total energy, eV per atom: -4.98
V, A^3/atom: 28.34
Formation energy from raw total energies, kJ/mol of formula units: -426

***

Entry 11:
A plane-wave DFT calculation with PBE was carried out for LaTbBiN after structural relaxation.

The structure in extended XYZ format:
```
8
Lattice="4.7445 0.0000 0.0000 0.0000 4.7445 0.0000 0.0000 0.0000 9.2596" Properties=species:S:1:pos:R:3 pbc="T T T"
La 1.1861 3.5584 0.0000
La 3.5584 1.1861 0.0000
Tb 1.1861 1.1861 3.0316
Tb 3.5584 3.5584 6.2281
Bi 1.1861 1.1861 6.3667
Bi 3.5584 3.5584 2.8929
N 1.1861 1.1861 0.8532
N 3.5584 3.5584 8.4064
```

Properties
Raw total energy, eV per atom: -6.63
V, A^3/atom: 26.05
Formation energy from raw total energies, kJ/mol of formula units: -459

***

Entry 12:
A plane-wave DFT calculation with PBE was carried out for La4Tb2Bi3N2 after structural relaxation.

The structure in extended XYZ format:
```
11
Lattice="-2.4372 2.4372 13.3977 2.4372 -2.4372 13.3977 2.4372 2.4372 -13.3977" Properties=species:S:1:pos:R:3 pbc="T T T"
La 2.4372 0.0000 2.3051
La 2.4372 0.0000 11.0925
La 0.0000 2.4372 2.3051
La 0.0000 2.4372 11.0925
Tb 0.0000 0.0000 5.1663
Tb 0.0000 0.0000 21.6290
Bi 0.0000 0.0000 8.4696
Bi 0.0000 0.0000 13.3977
Bi 0.0000 0.0000 18.3257
N 0.0000 0.0000 2.9715
N 0.0000 0.0000 23.8238
```

Properties
Raw total energy, eV per atom: -6.25
V, A^3/atom: 28.94
Formation energy from raw total energies, kJ/mol of formula units: -1112

***

Entry 13:
A plane-wave DFT calculation with PBE was carried out for La4BiTe2N2 after structural relaxation.

The structure in extended XYZ format:
```
9
Lattice="8.8071 -2.1510 0.0000 8.8071 2.1510 0.0000 -3.1459 0.0000 7.0778" Properties=species:S:1:pos:R:3 pbc="T T T"
La 0.1438 0.0000 1.8187
La 3.8598 0.0000 2.4386
La 10.6086 0.0000 4.6391
La 14.3246 0.0000 5.2591
Bi 7.2342 0.0000 3.5389
Te 3.5407 0.0000 6.9740
Te 10.9277 0.0000 0.1038
N 1.7069 0.0000 3.3951
N 12.7615 0.0000 3.6826
```

Properties
Raw total energy, eV per atom: -6.54
V, A^3/atom: 29.80
Formation energy from raw total energies, kJ/mol of formula units: -1194

***

Entry 14:
A plane-wave DFT calculation with PBE was carried out for La3BiTeN after structural relaxation.

The structure in extended XYZ format:
```
12
Lattice="9.6683 0.0000 0.0000 0.0000 4.4120 0.0000 -1.2775 0.0000 9.6627" Properties=species:S:1:pos:R:3 pbc="T T T"
La 0.5720 1.1030 3.1859
La 1.4230 3.3090 0.0466
La 2.9861 3.3090 6.2891
La 5.4047 1.1030 3.3736
La 6.9677 1.1030 9.6161
La 7.8188 3.3090 6.4768
Bi 0.6810 1.1030 6.8243
Bi 7.7098 3.3090 2.8384
Te 3.0402 3.3090 3.0955
Te 5.3506 1.1030 6.5672
N 0.6680 1.1030 0.9273
N 7.7227 3.3090 8.7354
```

Properties
Raw total energy, eV per atom: -6.33
V, A^3/atom: 34.35
Formation energy from raw total energies, kJ/mol of formula units: -755

***

Entry 15:
A plane-wave DFT calculation with PBE was carried out for La2ThBi2N2 after structural relaxation.

The structure in extended XYZ format:
```
7
Lattice="-2.3369 2.3369 8.2927 2.3369 -2.3369 8.2927 2.3369 2.3369 -8.2927" Properties=species:S:1:pos:R:3 pbc="T T T"
La 0.0000 0.0000 1.6668
La 0.0000 0.0000 14.9185
Th 0.0000 0.0000 8.2927
Bi 0.0000 0.0000 4.8690
Bi 0.0000 0.0000 11.7163
N 2.3369 0.0000 0.0000
N 0.0000 2.3369 0.0000
```

Properties
Raw total energy, eV per atom: -6.93
V, A^3/atom: 25.88
Formation energy from raw total energies, kJ/mol of formula units: -656

***

Entry 16:
A plane-wave DFT calculation with PBE was carried out for LaThBiN2 after structural relaxation.

The structure in extended XYZ format:
```
10
Lattice="2.8923 -7.5270 0.0000 2.8923 7.5270 0.0000 0.0000 0.0000 5.7668" Properties=species:S:1:pos:R:3 pbc="T T T"
La 2.8923 6.3260 4.3251
La 2.8923 -6.3260 1.4417
Th 2.8923 1.1129 4.3251
Th 2.8923 -1.1129 1.4417
Bi 2.8923 3.7789 1.4417
Bi 2.8923 -3.7789 4.3251
N 1.4955 0.0000 0.0000
N 1.4955 0.0000 2.8834
N 4.2891 0.0000 0.0000
N 4.2891 0.0000 2.8834
```

Properties
Raw total energy, eV per atom: -7.77
V, A^3/atom: 25.11
Formation energy from raw total energies, kJ/mol of formula units: -578

***

Entry 17:
A plane-wave DFT calculation with PBE was carried out for LaTlBi2N after structural relaxation.

The structure in extended XYZ format:
```
5
Lattice="5.7858 0.0000 0.0000 0.0000 5.7858 0.0000 0.0000 0.0000 6.1504" Properties=species:S:1:pos:R:3 pbc="T T T"
La 0.0000 0.0000 0.0000
Tl 0.0000 0.0000 3.0752
Bi 0.0000 2.8929 3.0752
Bi 2.8929 0.0000 3.0752
N 2.8929 2.8929 0.0000
```

Properties
Raw total energy, eV per atom: -3.30
V, A^3/atom: 41.18
Formation energy from raw total energies, kJ/mol of formula units: 663

***

Entry 18:
A plane-wave DFT calculation with PBE was carried out for LaUBiN2 after structural relaxation.

The structure in extended XYZ format:
```
5
Lattice="-1.9815 1.9815 6.7224 1.9815 -1.9815 6.7224 1.9815 1.9815 -6.7224" Properties=species:S:1:pos:R:3 pbc="T T T"
La 0.0000 0.0000 0.0000
U 0.0000 0.0000 4.3956
Bi 0.0000 0.0000 9.0531
N 1.9815 0.0000 5.3066
N 0.0000 1.9815 5.3066
```

Properties
Raw total energy, eV per atom: -8.60
V, A^3/atom: 21.12
Formation energy from raw total energies, kJ/mol of formula units: -604

***

Entry 19:
A plane-wave DFT calculation with PBE was carried out for La2VBiN after structural relaxation.

The structure in extended XYZ format:
```
5
Lattice="6.1020 0.0000 0.0000 0.0000 6.1020 0.0000 0.0000 0.0000 5.0258" Properties=species:S:1:pos:R:3 pbc="T T T"
La 0.0000 3.0510 0.0000
La 3.0510 0.0000 0.0000
V 0.0000 0.0000 2.5129
Bi 0.0000 0.0000 0.0000
N 3.0510 3.0510 2.5129
```

Properties
Raw total energy, eV per atom: -4.84
V, A^3/atom: 37.43
Formation energy from raw total energies, kJ/mol of formula units: 675

***

Entry 20:
A plane-wave DFT calculation with PBE was carried out for LaBiWN2 after structural relaxation.

The structure in extended XYZ format:
```
5
Lattice="4.1917 0.0000 0.0000 0.0000 4.1917 0.0000 0.0000 0.0000 6.2418" Properties=species:S:1:pos:R:3 pbc="T T T"
La 0.0000 0.0000 0.0000
Bi 2.0959 2.0959 0.0000
W 0.0000 0.0000 3.1209
N 0.0000 2.0959 3.1209
N 2.0959 0.0000 3.1209
```

Properties
Raw total energy, eV per atom: -6.96
V, A^3/atom: 21.93
Formation energy from raw total energies, kJ/mol of formula units: 347

***

Entry 21:
A plane-wave DFT calculation with PBE was carried out for LaY2BiN after structural relaxation.

The structure in extended XYZ format:
```
5
Lattice="4.8495 0.0000 0.0000 0.0000 4.8495 0.0000 0.0000 0.0000 5.1999" Properties=species:S:1:pos:R:3 pbc="T T T"
La 0.0000 0.0000 0.0000
Y 0.0000 2.4248 2.5999
Y 2.4248 0.0000 2.5999
Bi 2.4248 2.4248 0.0000
N 0.0000 0.0000 2.5999
```

Properties
Raw total energy, eV per atom: -6.95
V, A^3/atom: 24.46
Formation energy from raw total energies, kJ/mol of formula units: -452

***

Entry 22:
A plane-wave DFT calculation with PBE was carried out for La2YBiN after structural relaxation.

The structure in extended XYZ format:
```
5
Lattice="5.1723 0.0000 0.0000 0.0000 5.1723 0.0000 0.0000 0.0000 4.8152" Properties=species:S:1:pos:R:3 pbc="T T T"
La 0.0000 2.5862 0.0000
La 2.5862 0.0000 0.0000
Y 0.0000 0.0000 2.4076
Bi 2.5862 2.5862 2.4076
N 0.0000 0.0000 0.0000
```

Properties
Raw total energy, eV per atom: -6.67
V, A^3/atom: 25.76
Formation energy from raw total energies, kJ/mol of formula units: -466

***

Entry 23:
A plane-wave DFT calculation with PBE was carried out for La2ZrBi2N2 after structural relaxation.

The structure in extended XYZ format:
```
7
Lattice="-2.1812 2.1812 8.5111 2.1812 -2.1812 8.5111 2.1812 2.1812 -8.5111" Properties=species:S:1:pos:R:3 pbc="T T T"
La 0.0000 0.0000 1.6558
La 0.0000 0.0000 15.3665
Zr 0.0000 0.0000 8.5111
Bi 0.0000 0.0000 5.2346
Bi 0.0000 0.0000 11.7877
N 2.1812 0.0000 0.0000
N 0.0000 2.1812 0.0000
```

Properties
Raw total energy, eV per atom: -7.17
V, A^3/atom: 23.14
Formation energy from raw total energies, kJ/mol of formula units: -714

***

Entry 24:
A plane-wave DFT calculation with PBE was carried out for NaLaBi2 after structural relaxation.

The structure in extended XYZ format:
```
4
Lattice="5.2199 0.0000 0.0000 0.0000 5.2199 0.0000 0.0000 0.0000 4.5423" Properties=species:S:1:pos:R:3 pbc="T T T"
Na 0.0000 0.0000 0.0000
La 2.6099 2.6099 0.0000
Bi 0.0000 2.6099 2.2711
Bi 2.6099 0.0000 2.2711
```

Properties
Raw total energy, eV per atom: -4.12
E above lowest polymorph, meV per atom: 25
V, A^3/atom: 30.94

***

Entry 25:
A plane-wave DFT calculation with PBE was carried out for Na2LaBi2 after structural relaxation.

The structure in extended XYZ format:
```
5
Lattice="-2.2645 2.2645 7.8103 2.2645 -2.2645 7.8103 2.2645 2.2645 -7.8103" Properties=species:S:1:pos:R:3 pbc="T T T"
Na 2.2645 0.0000 3.9052
Na 0.0000 2.2645 3.9052
La 0.0000 0.0000 0.0000
Bi 0.0000 0.0000 6.2266
Bi 0.0000 0.0000 9.3941
```

Properties
Raw total energy, eV per atom: -3.53
E above lowest polymorph, meV per atom: 0
V, A^3/atom: 32.04